! GGA-PBE LaPr, relaxed; values from VASP
&SYSTEM
  ibrav = 0, nat = 2, ntyp = 2
/
ATOMIC_SPECIES
La 138.91 La.upf
Pr 140.91 Pr.upf
CELL_PARAMETERS angstrom
0.000 3.341 3.341
3.341 0.000 3.341
3.341 3.341 0.000
ATOMIC_POSITIONS angstrom
La 0.000 0.000 0.000
Pr 3.341 3.341 3.341
! volume: 37.30 Å³/atom
! ΔE_f: 0.55 eV per atom
! DFT total energy: -4.296 eV/atom
! spin magnetization: 0.29 μB per formula unit


! GGA-PBE Tb2GdIn3Ag2Pt, relaxed; values from VASP
&SYSTEM
  ibrav = 0, nat = 9, ntyp = 5
/
ATOMIC_SPECIES
Tb 158.93 Tb.upf
Gd 157.25 Gd.upf
In 114.82 In.upf
Ag 107.87 Ag.upf
Pt 195.08 Pt.upf
CELL_PARAMETERS angstrom
4.007 0.000 0.000
0.000 6.720 3.878
0.000 -6.720 3.878
ATOMIC_POSITIONS angstrom
Tb 0.000 -4.050 3.878
Tb 0.000 4.050 3.878
Gd 0.000 0.000 4.628
In 2.004 -1.725 2.535
In 2.004 1.725 2.535
In 2.004 0.000 7.306
Ag 2.004 -2.247 5.420
Ag 2.004 2.247 5.420
Pt 0.000 0.000 1.535
! volume: 23.21 Å³/atom
! DFT total energy: -4.359 eV/atom
! spin magnetization: 0.01 μB per formula unit


! GGA-PBE Ag2IrPd, relaxed; values from VASP
&SYSTEM
  ibrav = 0, nat = 4, ntyp = 3
/
ATOMIC_SPECIES
Ag 107.87 Ag.upf
Ir 192.22 Ir.upf
Pd 106.42 Pd.upf
CELL_PARAMETERS angstrom
0.000 3.182 3.182
3.182 0.000 3.182
3.182 3.182 0.000
ATOMIC_POSITIONS angstrom
Ag 0.000 0.000 0.000
Ag 1.591 1.591 1.591
Ir 4.773 4.773 4.773
Pd 3.182 3.182 3.182
! volume: 16.11 Å³/atom
! ΔE_f: 0.41 eV per atom
! DFT total energy: -4.509 eV/atom
! spin magnetization: 1.00 μB per formula unit


Question: The lowest DFT total energy belongs to which entry?
Answer: Ag2IrPd